## Ho4Co2Pt (PBE-GGA)

Data for an optimized crystal structure of Ho4Co2Pt.

DOS(E_F) ... 3.15 states/eV per cell
Calculated volume ... 302 Å³/cell
SG ... I2_12_12_1, No. 24
Formation energy from the elements ... -0.46 eV per atom

a = 7.323 Å, b = 7.323 Å, c = 7.323 Å
α = 110.57°, β = 108.92°, γ = 108.92°
Atoms (fractional coordinates):
Ho (0.005, 0.122, 0.994)
Ho (0.127, 0.006, 0.511)
Ho (0.373, 0.884, 0.879)
Ho (0.495, 0.489, 0.117)
Ho (0.505, 0.494, 0.621)
Ho (0.628, 0.011, 0.506)
Ho (0.872, 0.378, 0.383)
Ho (0.995, 0.616, 0.989)
Co (0.124, 0.374, 0.750)
Co (0.376, 0.126, 0.250)
Co (0.622, 0.250, 0.872)
Co (0.878, 0.750, 0.628)
Pt (0.250, 0.626, 0.376)
Pt (0.750, 0.874, 0.124)



## BaAgTe2I (PBE-GGA)

Data for an optimized crystal structure of BaAgTe2I.

DOS(E_F) ... 5.58 states/eV per cell
Calculated volume ... 299 Å³/cell
SG ... P4/mmm, No. 123
Distance to the lowest polymorph of the same formula ... 367 kJ/mol of formula units

a = 6.726 Å, b = 6.726 Å, c = 6.612 Å
α = 90.00°, β = 90.00°, γ = 90.00°
Atoms (fractional coordinates):
Ba (0.000, 0.000, 0.000)
Ag (0.500, 0.500, 0.500)
Te (0.000, 0.500, 0.000)
Te (0.500, 0.000, 0.000)
I (0.000, 0.000, 0.500)



## Pm2ZnBPd6 (PBE-GGA)

Data for an optimized crystal structure of Pm2ZnBPd6.

DOS(E_F) ... 5.79 states/eV per cell
Calculated volume ... 186 Å³/cell
SG ... C2/m, No. 12
Formation energy from the elements ... -0.54 eV per atom

a = 6.401 Å, b = 6.401 Å, c = 6.403 Å
α = 119.98°, β = 119.98°, γ = 89.94°
Atoms (fractional coordinates):
Pm (0.250, 0.750, 0.000)
Pm (0.750, 0.250, 0.000)
Zn (0.000, 0.000, 0.500)
B (0.500, 0.500, 0.500)
Pd (0.270, 0.270, 0.040)
Pd (0.270, 0.270, 0.500)
Pd (0.270, 0.730, 0.500)
Pd (0.730, 0.270, 0.500)
Pd (0.730, 0.730, 0.500)
Pd (0.730, 0.730, 0.960)



## MnHg2Ir (PBE-GGA)

Data for an optimized crystal structure of MnHg2Ir.

DOS(E_F) ... 2.37 states/eV per cell
Calculated volume ... 72 Å³/cell
SG ... C2/m, No. 12
Formation energy from the elements ... 0.37 eV per atom
Distance to the lowest polymorph of the same formula ... 61 kJ/mol of formula units

a = 4.967 Å, b = 4.967 Å, c = 4.959 Å
α = 101.93°, β = 101.93°, γ = 36.85°
Atoms (fractional coordinates):
Mn (0.000, 0.000, 0.000)
Hg (0.250, 0.250, 0.750)
Hg (0.750, 0.750, 0.250)
Ir (0.500, 0.500, 0.500)